[1]
DFT (GGA-PBEsol) results for an optimized crystal structure of Pr5P12Ru19.

Electronic total energy   -319.21 eV/cell

Unit cell a=12.5104 b=12.5104 c=3.9614 alpha=90.00 beta=90.00 gamma=120.00
Space group P-62m (No. 189)
Symmetry-distinct sites (fractional):
Pr1 0.0000 0.1846 0.0000 (multiplicity 3)
Pr2 0.3333 0.6667 0.5000 (multiplicity 2)
P1 0.0000 0.3756 0.5000 (multiplicity 3)
P2 0.0000 0.8128 0.5000 (multiplicity 3)
P3 0.1702 0.6941 0.0000 (multiplicity 6)
Ru1 0.0000 0.0000 0.5000 (multiplicity 1)
Ru2 0.0000 0.5560 0.5000 (multiplicity 3)
Ru3 0.0000 0.7152 0.0000 (multiplicity 3)
Ru4 0.1235 0.4904 0.0000 (multiplicity 6)
Ru5 0.1843 0.8059 0.5000 (multiplicity 6)



[2]
DFT (GGA-PBEsol) results for an optimized crystal structure of BaCrP.

Electronic total energy   -70.03 eV/cell

Unit cell a=6.765 b=6.765 c=6.765 alpha=90.00 beta=90.00 gamma=90.00
Space group F-43m (No. 216)
Symmetry-distinct sites (fractional):
Ba1 0.000 0.000 0.000 (multiplicity 4)
Cr1 0.250 0.250 0.750 (multiplicity 4)
P1 0.000 0.000 0.500 (multiplicity 4)



[3]
DFT (GGA-PBEsol) results for an optimized crystal structure of MgIrRu2.

Electronic total energy   -62.29 eV/cell

Unit cell a=2.900 b=4.450 c=8.720 alpha=90.00 beta=90.00 gamma=90.00
Space group Imm2 (No. 44)
Symmetry-distinct sites (fractional):
Mg1 0.000 0.000 0.000 (multiplicity 2)
Ir1 0.000 0.500 0.250 (multiplicity 2)
Ru1 0.000 0.000 0.495 (multiplicity 2)
Ru2 0.000 0.500 0.750 (multiplicity 2)



[4]
DFT (GGA-PBEsol) results for an optimized crystal structure of HgBiP2O.

Electronic total energy   -18.17 eV/cell

Unit cell a=4.993 b=4.993 c=4.069 alpha=90.00 beta=90.00 gamma=90.00
Space group P4/mmm (No. 123)
Symmetry-distinct sites (fractional):
Hg1 0.000 0.000 0.000 (multiplicity 1)
Bi1 0.500 0.500 0.500 (multiplicity 1)
P1 0.000 0.500 0.000 (multiplicity 2)
O1 0.000 0.000 0.500 (multiplicity 1)